(1)
ErSb3S6: optimized geometry, PBE.

Cell: 3.978 8.280 8.280 Å, 109.26 90.00 90.00°
Positions (direct):
1 S 0.500 0.645 0.355
2 Sb 0.000 0.000 0.000
3 S 0.500 0.355 0.645
4 S 0.000 0.664 0.900
5 S 0.000 0.900 0.664
6 S 0.000 0.336 0.100
7 S 0.000 0.100 0.336
8 Er 0.000 0.500 0.500
9 Sb 0.500 0.000 0.500
10 Sb 0.500 0.500 0.000

**Formation energy from raw total energies**: -505 meV/atom
**Relative energy among the computed polymorphs**: 197 meV per atom
**Mass density**: 4.67 g cm⁻³
**Magnetic moment**: 0.00 Bohr magnetons per cell

=====

(2)
Er6SbS5: optimized geometry, PBE.

Cell: 6.883 6.838 6.832 Å, 59.97 80.43 70.59°
Positions (direct):
1 S 0.500 0.500 0.000
2 S 0.000 0.332 0.335
3 S 0.500 0.160 0.681
4 Er 0.737 0.738 0.000
5 Er 0.733 0.438 0.651
6 Er 0.267 0.562 0.349
7 Er 0.733 0.089 0.349
8 S 0.500 0.840 0.319
9 S 0.000 0.668 0.665
10 Sb 0.000 0.000 0.000
11 Er 0.263 0.262 0.000
12 Er 0.267 0.911 0.651

**Formation energy from raw total energies**: -1771 meV/atom
**Mass density**: 8.13 g cm⁻³
**Magnetic moment**: 0.00 Bohr magnetons per cell

=====

(3)
Er4SbS3: optimized geometry, PBE.

Cell: 3.886 3.886 13.847 Å, 90.00 90.00 120.00°
Positions (direct):
1 S 0.000 0.000 0.500
2 Er 0.667 0.333 0.146
3 Er 0.667 0.333 0.622
4 Sb 0.000 0.000 0.000
5 S 0.000 0.000 0.737
6 Er 0.333 0.667 0.854
7 Er 0.333 0.667 0.378
8 S 0.000 0.000 0.263

**Formation energy from raw total energies**: -1625 meV/atom
**Mass density**: 8.13 g cm⁻³
**Magnetic moment**: 0.00 Bohr magnetons per cell